[1]
# RuW3 | the Alexandria database | PBE-GGA | relaxed
data_RuW3
_chemical_formula_sum 'Ru1 W3'
_cell_length_a 4.920
_cell_length_b 4.920
_cell_length_c 4.920
_cell_angle_alpha 132.75
_cell_angle_beta 132.75
_cell_angle_gamma 69.05
_space_group_name_H-M_alt 'P 1'
_space_group_IT_number 1
_space_group_name_Hall 'P 1'
loop_
_atom_site_label
_atom_site_fract_x
_atom_site_fract_y
_atom_site_fract_z
_atom_site_occupancy
Ru1 0.000 0.000 0.000 1
W1 0.250 0.750 0.500 1
W2 0.500 0.500 0.000 1
W3 0.750 0.250 0.500 1
# - ΔH_f (0 K): 0.259 eV/atom
# - DOS(E_F): 3.90 states/eV/f.u.
# - Size of the total moment: 0.000 μB per formula unit
# - Crystal system: tetragonal



[2]
# ScAg3S | the Alexandria database | PBE-GGA | relaxed
data_ScAg3S
_chemical_formula_sum 'Sc1 Ag3 S1'
_cell_length_a 5.153
_cell_length_b 5.153
_cell_length_c 5.153
_cell_angle_alpha 90.00
_cell_angle_beta 90.00
_cell_angle_gamma 90.00
_space_group_name_H-M_alt 'P 1'
_space_group_IT_number 1
_space_group_name_Hall 'P 1'
loop_
_atom_site_label
_atom_site_fract_x
_atom_site_fract_y
_atom_site_fract_z
_atom_site_occupancy
Sc1 0.000 0.000 0.000 1
Ag1 0.000 0.000 0.500 1
Ag2 0.000 0.500 0.000 1
Ag3 0.500 0.000 0.000 1
S1 0.500 0.500 0.500 1
# - Energy above the lowest structure with this stoichiometry: 0.755 eV/atom
# - DOS(E_F): 5.23 states/eV/f.u.
# - Size of the total moment: 0.000 μB per formula unit
# - Crystal system: cubic
# - Energy relative to the elements, uncorrected: 1.156 eV per atom



[3]
# TcNiAu2 | the Alexandria database | PBE-GGA | relaxed
data_TcNiAu2
_chemical_formula_sum 'Tc1 Ni1 Au2'
_cell_length_a 2.756
_cell_length_b 3.529
_cell_length_c 6.446
_cell_angle_alpha 90.00
_cell_angle_beta 90.00
_cell_angle_gamma 90.00
_space_group_name_H-M_alt 'P 1'
_space_group_IT_number 1
_space_group_name_Hall 'P 1'
loop_
_atom_site_label
_atom_site_fract_x
_atom_site_fract_y
_atom_site_fract_z
_atom_site_occupancy
Tc1 0.000 0.000 0.000 1
Ni1 0.500 0.500 0.821 1
Au1 0.000 0.000 0.568 1
Au2 0.500 0.500 0.272 1
# - ΔH_f (0 K): 0.233 eV/atom
# - Energy above the lowest structure with this stoichiometry: 0.107 eV/atom
# - DOS(E_F): 3.34 states/eV/f.u.
# - Size of the total moment: 0.000 μB per formula unit
# - Crystal system: orthorhombic



[4]
# K2VAgCl6 | the Alexandria database | PBE-GGA | relaxed
data_K2VAgCl6
_chemical_formula_sum 'K2 V1 Ag1 Cl6'
_cell_length_a 7.011
_cell_length_b 7.037
_cell_length_c 7.197
_cell_angle_alpha 118.90
_cell_angle_beta 118.85
_cell_angle_gamma 90.12
_space_group_name_H-M_alt 'P 1'
_space_group_IT_number 1
_space_group_name_Hall 'P 1'
loop_
_atom_site_label
_atom_site_fract_x
_atom_site_fract_y
_atom_site_fract_z
_atom_site_occupancy
K1 0.250 0.245 0.000 1
K2 0.750 0.755 0.000 1
V1 0.500 0.000 0.500 1
Ag1 0.000 0.500 0.500 1
Cl1 0.202 0.821 0.492 1
Cl2 0.271 0.785 0.040 1
Cl3 0.332 0.300 0.515 1
Cl4 0.668 0.700 0.485 1
Cl5 0.729 0.215 0.960 1
Cl6 0.798 0.179 0.508 1
# - DOS(E_F): 10.84 states/eV/f.u.
# - Size of the total moment: 2.000 μB per formula unit
# - Crystal system: triclinic
# - Energy relative to the elements, uncorrected: -1.367 eV per atom



[5]
# LiTaPb2 | the Alexandria database | PBE-GGA | relaxed
data_LiTaPb2
_chemical_formula_sum 'Li1 Ta1 Pb2'
_cell_length_a 3.172
_cell_length_b 4.866
_cell_length_c 5.915
_cell_angle_alpha 90.00
_cell_angle_beta 90.00
_cell_angle_gamma 90.00
_space_group_name_H-M_alt 'P 1'
_space_group_IT_number 1
_space_group_name_Hall 'P 1'
loop_
_atom_site_label
_atom_site_fract_x
_atom_site_fract_y
_atom_site_fract_z
_atom_site_occupancy
Li1 0.000 0.000 0.000 1
Ta1 0.500 0.500 0.680 1
Pb1 0.000 0.000 0.542 1
Pb2 0.500 0.500 0.161 1
# - ΔH_f (0 K): 0.361 eV/atom
# - DOS(E_F): 2.02 states/eV/f.u.
# - Size of the total moment: 0.000 μB per formula unit
# - Crystal system: orthorhombic



[6]
# CsBi2S4 | the Alexandria database | PBE-GGA | relaxed
data_CsBi2S4
_chemical_formula_sum 'Cs2 Bi4 S8'
_cell_length_a 7.150
_cell_length_b 7.150
_cell_length_c 14.749
_cell_angle_alpha 90.00
_cell_angle_beta 90.00
_cell_angle_gamma 146.62
_space_group_name_H-M_alt 'P 1'
_space_group_IT_number 1
_space_group_name_Hall 'P 1'
loop_
_atom_site_label
_atom_site_fract_x
_atom_site_fract_y
_atom_site_fract_z
_atom_site_occupancy
Cs1 0.104 0.896 0.750 1
Cs2 0.896 0.104 0.250 1
Bi1 0.363 0.637 0.565 1
Bi2 0.363 0.637 0.935 1
Bi3 0.637 0.363 0.065 1
Bi4 0.637 0.363 0.435 1
S1 0.000 0.000 0.000 1
S2 0.000 0.000 0.500 1
S3 0.266 0.734 0.100 1
S4 0.266 0.734 0.400 1
S5 0.396 0.604 0.750 1
S6 0.604 0.396 0.250 1
S7 0.734 0.266 0.600 1
S8 0.734 0.266 0.900 1
# - DOS(E_F): 4.87 states/eV/f.u.
# - Size of the total moment: 0.646 μB per formula unit
# - Crystal system: orthorhombic
# - Energy relative to the elements, uncorrected: -0.436 eV per atom



[7]
# UMoAs2 | the Alexandria database | PBE-GGA | relaxed
data_UMoAs2
_chemical_formula_sum 'U1 Mo1 As2'
_cell_length_a 10.225
_cell_length_b 10.225
_cell_length_c 10.225
_cell_angle_alpha 16.40
_cell_angle_beta 16.40
_cell_angle_gamma 16.40
_space_group_name_H-M_alt 'P 1'
_space_group_IT_number 1
_space_group_name_Hall 'P 1'
loop_
_atom_site_label
_atom_site_fract_x
_atom_site_fract_y
_atom_site_fract_z
_atom_site_occupancy
U1 0.000 0.000 0.000 1
Mo1 0.500 0.500 0.500 1
As1 0.415 0.415 0.415 1
As2 0.585 0.585 0.585 1
# - ΔH_f (0 K): 0.237 eV/atom
# - Energy above the lowest structure with this stoichiometry: 0.532 eV/atom
# - DOS(E_F): 5.61 states/eV/f.u.
# - Size of the total moment: 0.000 μB per formula unit
# - Crystal system: trigonal



[8]
# Zr2BeSb | the Alexandria database | PBE-GGA | relaxed
data_Zr2BeSb
_chemical_formula_sum 'Zr2 Be1 Sb1'
_cell_length_a 3.323
_cell_length_b 3.323
_cell_length_c 7.467
_cell_angle_alpha 90.00
_cell_angle_beta 90.00
_cell_angle_gamma 103.78
_space_group_name_H-M_alt 'P 1'
_space_group_IT_number 1
_space_group_name_Hall 'P 1'
loop_
_atom_site_label
_atom_site_fract_x
_atom_site_fract_y
_atom_site_fract_z
_atom_site_occupancy
Zr1 0.000 0.000 0.000 1
Zr2 0.500 0.500 0.308 1
Be1 0.500 0.500 0.786 1
Sb1 0.000 0.000 0.587 1
# - Energy above the lowest structure with this stoichiometry: 0.495 eV/atom
# - DOS(E_F): 4.36 states/eV/f.u.
# - Size of the total moment: 0.000 μB per formula unit
# - Crystal system: orthorhombic
# - Energy relative to the elements, uncorrected: -0.022 eV per atom